Material: Pb3Se2
Method: DFT, PBE
State: optimized geometry

```
Pb3Se2
1.0
5.416 0.000 0.000
-2.708 4.691 0.000
0.000 0.000 6.192
Pb Se
3 2
direct
0.000 0.000 0.000 Pb
0.333 0.667 0.283 Pb
0.667 0.333 0.717 Pb
0.333 0.667 0.775 Se
0.667 0.333 0.225 Se
```

Output
Its total DFT energy (no corrections) is -19.0 eV/f.u. As for the energy relative to the elements, uncorrected: -0.94 eV/f.u. The space group is P-3m1.